Density functional theory data (GGA-PBE) for an optimized crystal structure of Ag2SbW.

The structure in POSCAR format:
```
Ag2SbW
1.0
6.6373 0.0000 0.0000
0.0000 6.6373 0.0000
0.0000 0.0000 6.6373
Ag Sb W
8 4 4
Cartesian
0.0000 0.0000 0.0000
0.0000 3.3187 3.3187
1.6593 1.6593 1.6593
1.6593 4.9780 4.9780
3.3187 0.0000 3.3187
3.3187 3.3187 0.0000
4.9780 1.6593 4.9780
4.9780 4.9780 1.6593
0.0000 0.0000 3.3187
0.0000 3.3187 0.0000
3.3187 0.0000 0.0000
3.3187 3.3187 3.3187
1.6593 1.6593 4.9780
1.6593 4.9780 1.6593
4.9780 1.6593 1.6593
4.9780 4.9780 4.9780
```

## Properties
**VASP energy**: -5.006 eV/atom
**Space group**: F-43m (216)
**M_tot**: 0.038 μB/atom